An optimized crystal structure of Li2BCl4. Source: Alexandria, functional PBE.

Geometry as POSCAR:
```
Li2BCl4
1.0
-0.4695 4.3132 3.7355
-5.3102 -1.7017 1.2974
4.6823 -4.1890 1.0380
Li B Cl
2 1 4
Direct
0.7500 0.2500 0.5000
0.2500 0.7500 0.5000
0.5000 0.5000 0.0000
0.8326 0.4041 0.2367
0.4041 0.8326 0.2367
0.5959 0.5959 0.7633
0.1674 0.1674 0.7633
```

Results
DOS(E_F) in states/eV/f.u.: 1.04
Energy relative to the elements, uncorrected in eV per atom: -0.8805
Total DFT energy (no corrections) in eV per atom: -3.4365
Total moment in μB/atom: 0.144
V in Å³ per cell: 161

An optimized crystal structure of LiBCl3. Source: Alexandria, functional PBE.

Geometry as POSCAR:
```
LiBCl3
1.0
6.2284 0.0000 -0.1864
0.0000 5.9995 0.0000
-0.6312 0.0000 11.0155
Li B Cl
4 4 12
Direct
0.9752 0.4976 0.1672
0.5248 0.9976 0.3328
0.0248 0.5024 0.8328
0.4752 0.0024 0.6672
0.4396 0.5527 0.0611
0.0604 0.0527 0.4389
0.5604 0.4473 0.9389
0.9396 0.9473 0.5611
0.1391 0.7679 0.6593
0.3609 0.2679 0.8407
0.8609 0.2321 0.3407
0.6391 0.7321 0.1593
0.8372 0.1739 0.6620
0.6628 0.6739 0.8380
0.1628 0.8261 0.3380
0.3372 0.3261 0.1620
0.6959 0.7708 0.5118
0.8041 0.2708 0.9882
0.3041 0.2292 0.4882
0.1959 0.7292 0.0118
```

Results
DOS(E_F) in states/eV/f.u.: 0.00
Energy relative to the elements, uncorrected in eV per atom: -1.1689
Total DFT energy (no corrections) in eV per atom: -3.9951
Total moment in μB/atom: 0.000
V in Å³ per cell: 411
E above lowest polymorph in meV/atom: 0.0

An optimized crystal structure of Li2BCl2. Source: Alexandria, functional PBE.

Geometry as POSCAR:
```
Li2BCl2
1.0
-0.2535 4.1825 -2.6092
-3.8772 -1.7827 -2.4809
-5.2623 3.2182 1.0008
B Li Cl
1 2 2
Direct
0.0000 0.0000 0.0000
0.2355 0.2355 0.5290
0.7645 0.7645 0.4710
0.7500 0.2500 0.5000
0.2500 0.7500 0.5000
```

Results
DOS(E_F) in states/eV/f.u.: 0.00
Energy relative to the elements, uncorrected in eV per atom: -0.2129
Total DFT energy (no corrections) in eV per atom: -3.0526
Total moment in μB/atom: 0.200
V in Å³ per cell: 126
E above lowest polymorph in meV/atom: 0.0

An optimized crystal structure of LiB3Cl. Source: Alexandria, functional PBE.

Geometry as POSCAR:
```
LiB3Cl
1.0
-0.5540 3.8118 1.0357
-3.4156 0.0629 -2.0588
-1.9839 -1.1729 3.2555
B Li Cl
3 1 1
Direct
0.0000 0.5000 0.0000
0.0000 0.0000 0.5000
0.5000 0.0000 0.0000
0.5000 0.5000 0.5000
0.0000 0.0000 0.0000
```

Results
DOS(E_F) in states/eV/f.u.: 2.62
Energy relative to the elements, uncorrected in eV per atom: 2.2584
Total DFT energy (no corrections) in eV per atom: -2.5001
Total moment in μB/atom: 0.000
V in Å³ per cell: 63
E above lowest polymorph in meV/atom: 134.0

An optimized crystal structure of LiBCl6. Source: Alexandria, functional PBE.

Geometry as POSCAR:
```
LiBCl6
1.0
6.2129 1.3334 -3.0866
5.0679 9.7691 -2.6926
0.6553 1.5616 3.4406
Li B Cl
1 1 6
Direct
0.5000 0.5000 0.5000
0.0000 0.0000 0.0000
0.0494 0.5645 0.5658
0.6949 0.0702 0.8632
0.7855 0.2757 0.2738
0.3051 0.9298 0.1368
0.9506 0.4355 0.4342
0.2145 0.7243 0.7262
```

Results
DOS(E_F) in states/eV/f.u.: 0.00
Energy relative to the elements, uncorrected in eV per atom: -0.6217
Total DFT energy (no corrections) in eV per atom: -3.0806
Total moment in μB/atom: 0.000
V in Å³ per cell: 205

An optimized crystal structure of LiBCl2. Source: Alexandria, functional PBE.

Geometry as POSCAR:
```
LiBCl2
1.0
2.9022 -0.0713 3.6315
-0.9434 2.5374 3.7799
-1.2703 -2.0973 3.9501
B Li Cl
1 1 2
Direct
0.5000 0.5000 0.5000
0.0000 0.0000 0.0000
0.2500 0.2500 0.2500
0.7500 0.7500 0.7500
```

Results
DOS(E_F) in states/eV/f.u.: 0.00
Energy relative to the elements, uncorrected in eV per atom: 0.1253
Total DFT energy (no corrections) in eV per atom: -2.9458
Total moment in μB/atom: 0.000
V in Å³ per cell: 71
E above lowest polymorph in meV/atom: 214.7

An optimized crystal structure of LiBCl4. Source: Alexandria, functional PBE.

Geometry as POSCAR:
```
LiBCl4
1.0
-3.4345 3.6631 3.1876
-2.3352 -3.0905 -4.5134
-3.1208 -10.7163 8.9524
Li B Cl
3 3 12
Direct
0.0000 0.4799 0.1667
0.5201 0.5201 0.5000
0.4799 0.0000 0.8333
0.0000 0.4852 0.6667
0.5148 0.5148 0.0000
0.4852 0.0000 0.3333
0.0438 0.6864 0.7722
0.1562 0.7092 0.3164
0.2908 0.4470 0.6497
0.3136 0.3574 0.1055
0.6426 0.9562 0.4388
0.5530 0.8438 0.9830
0.3574 0.3136 0.8945
0.4470 0.2908 0.3503
0.8438 0.5530 0.0170
0.9562 0.6426 0.5612
0.6864 0.0438 0.2278
0.7092 0.1562 0.6836
```

Results
DOS(E_F) in states/eV/f.u.: 0.00
Energy relative to the elements, uncorrected in eV per atom: -1.1970
Total DFT energy (no corrections) in eV per atom: -3.8600
Total moment in μB/atom: 0.000
V in Å³ per cell: 438
E above lowest polymorph in meV/atom: 22.0

An optimized crystal structure of LiBCl. Source: Alexandria, functional PBE.

Geometry as POSCAR:
```
LiBCl
1.0
-0.1980 -2.3262 2.1518
0.2727 -5.1300 -5.5207
8.1308 -1.7594 -1.1539
Li B Cl
4 4 4
Direct
0.2497 0.5445 0.8465
0.7497 0.9555 0.1535
0.7503 0.4555 0.1535
0.2503 0.0445 0.8465
0.7498 0.7578 0.9642
0.2498 0.7422 0.0358
0.2502 0.2422 0.0358
0.7502 0.2578 0.9642
0.2497 0.7061 0.2783
0.7497 0.7939 0.7217
0.7503 0.2939 0.7217
0.2503 0.2061 0.2783
```

Results
Energy relative to the elements, uncorrected in eV per atom: -0.6753
Total DFT energy (no corrections) in eV per atom: -4.1546
Total moment in μB/atom: 0.000
V in Å³ per cell: 193

An optimized crystal structure of LiBCl2. Source: Alexandria, functional PBE.

Geometry as POSCAR:
```
LiBCl2
1.0
5.6644 0.0000 0.0000
0.0000 5.6644 0.0000
2.8322 2.8322 5.8247
B Li Cl
2 2 4
Direct
0.0000 0.0000 0.0000
0.7500 0.2500 0.5000
0.5000 0.5000 0.0000
0.2500 0.7500 0.5000
0.6058 0.1250 0.2500
0.1442 0.6250 0.2500
0.3750 0.3942 0.7500
0.8750 0.8558 0.7500
```

Results
DOS(E_F) in states/eV/f.u.: 0.00
Energy relative to the elements, uncorrected in eV per atom: -0.0894
Total DFT energy (no corrections) in eV per atom: -3.1605
Total moment in μB/atom: 0.000
V in Å³ per cell: 187
E above lowest polymorph in meV/atom: 0.0

An optimized crystal structure of LiBCl3. Source: Alexandria, functional PBE.

Geometry as POSCAR:
```
LiBCl3
1.0
4.7425 0.0000 0.0000
0.0000 4.7425 0.0000
0.0000 0.0000 4.7425
B Li Cl
1 1 3
Direct
0.5000 0.5000 0.5000
0.0000 0.0000 0.0000
0.0000 0.5000 0.0000
0.0000 0.0000 0.5000
0.5000 0.0000 0.0000
```

Results
DOS(E_F) in states/eV/f.u.: 5.89
Energy relative to the elements, uncorrected in eV per atom: 0.3486
Total DFT energy (no corrections) in eV per atom: -2.4777
Total moment in μB/atom: 0.000
V in Å³ per cell: 107
E above lowest polymorph in meV/atom: 1517.5

An optimized crystal structure of LiBCl4. Source: Alexandria, functional PBE.

Geometry as POSCAR:
```
LiBCl4
1.0
5.7785 0.0000 0.0000
0.0000 5.7785 0.0000
-2.8892 -2.8892 4.5010
Li B Cl
1 1 4
Direct
0.7500 0.2500 0.5000
0.5000 0.5000 0.0000
0.4269 0.8030 0.2351
0.8082 0.4321 0.2351
0.1970 0.1918 0.7649
0.5679 0.5731 0.7649
```

Results
DOS(E_F) in states/eV/f.u.: 0.00
Energy relative to the elements, uncorrected in eV per atom: -1.2190
Total DFT energy (no corrections) in eV per atom: -3.8820
Total moment in μB/atom: 0.000
V in Å³ per cell: 150
E above lowest polymorph in meV/atom: 0.0

An optimized crystal structure of LiBCl3. Source: Alexandria, functional PBE.

Geometry as POSCAR:
```
LiBCl3
1.0
4.4724 0.0000 0.0000
0.0000 4.4724 0.0000
0.0000 0.0000 4.4724
B Li Cl
1 1 3
Direct
0.0000 0.0000 0.0000
0.5000 0.5000 0.5000
0.0000 0.5000 0.0000
0.0000 0.0000 0.5000
0.5000 0.0000 0.0000
```

Results
DOS(E_F) in states/eV/f.u.: 0.81
Energy relative to the elements, uncorrected in eV per atom: -0.2989
Total DFT energy (no corrections) in eV per atom: -3.1251
Total moment in μB/atom: 0.000
V in Å³ per cell: 89
E above lowest polymorph in meV/atom: 870.0